Below is a relaxed Fe2BiPd2 crystal, with properties calculated at the GGA-PBE level.

```
Fe2BiPd2
1.0
7.604 0.000 0.000
0.000 7.604 0.000
0.000 0.000 2.952
Bi Pd Fe
2 4 4
Direct
0.000 0.000 0.000
0.500 0.500 0.000
0.367 0.867 0.000
0.867 0.633 0.000
0.633 0.133 0.000
0.133 0.367 0.000
0.157 0.657 0.500
0.657 0.843 0.500
0.843 0.343 0.500
0.343 0.157 0.500
```

As for the polymorph energy (0 for the lowest one): 29 meV per atom. Its total magnetization is 6.83 μB/f.u. As for the uncorrected energy: -0.22280 Ha/atom. The energy of formation from the pure elements is 0.1758 eV per atom.

Below is a relaxed Sm2UPaAs4 crystal, with properties calculated at the GGA-PBE level.

```
Sm2UPaAs4
1.0
-2.621 -2.154 -2.363
5.500 -3.610 -2.810
-2.412 -3.506 5.871
Sm U Pa As
2 1 1 4
Direct
0.500 0.000 0.500
0.000 0.500 0.500
0.000 0.000 0.000
0.500 0.500 0.000
0.500 0.247 0.241
0.500 0.753 0.759
0.000 0.253 0.759
0.000 0.747 0.241
```

Its total magnetization is 3.13 μB/f.u. As for the uncorrected energy: -0.26858 Ha/atom. The energy of formation from the pure elements is -1.2060 eV per atom.

Below is a relaxed Sr2Zn2Ag15 crystal, with properties calculated at the GGA-PBE level.

```
Sr2Zn2Ag15
1.0
7.361 -0.014 -0.012
0.942 7.300 -0.012
0.942 0.826 7.254
Sr Zn Ag
2 2 15
Direct
0.341 0.341 0.341
0.659 0.659 0.659
0.095 0.095 0.095
0.905 0.905 0.905
0.500 0.000 0.000
0.000 0.000 0.500
0.000 0.500 0.000
0.000 0.700 0.300
0.700 0.300 0.000
0.300 0.000 0.700
0.300 0.700 0.000
0.700 0.000 0.300
0.000 0.300 0.700
0.154 0.655 0.655
0.655 0.655 0.154
0.655 0.154 0.655
0.846 0.345 0.345
0.345 0.345 0.846
0.345 0.846 0.345
```

Its total magnetization is 0.00 μB/f.u. As for the uncorrected energy: -0.09763 Ha/atom. The energy of formation from the pure elements is -0.0946 eV per atom.

Below is a relaxed RbReW3 crystal, with properties calculated at the GGA-PBE level.

```
RbReW3
1.0
-4.768 0.403 -1.168
0.639 -3.180 -3.706
-1.058 -3.739 3.026
Re Rb W
1 1 3
Direct
0.000 0.000 0.000
0.500 0.500 0.500
0.000 0.500 0.000
0.000 0.000 0.500
0.500 0.000 0.000
```

As for the polymorph energy (0 for the lowest one): 0 meV per atom. Its total magnetization is 0.00 μB/f.u. As for the uncorrected energy: -0.30324 Ha/atom. The energy of formation from the pure elements is 2.2035 eV per atom.

Below is a relaxed Pm6HoSn6 crystal, with properties calculated at the GGA-PBE level.

```
Pm6HoSn6
1.0
7.386 -0.001 0.000
-3.693 6.397 0.000
0.000 0.000 9.159
Pm Ho Sn
6 1 6
Direct
0.000 0.500 0.747
0.500 0.000 0.747
0.500 0.500 0.747
0.500 0.000 0.253
0.000 0.500 0.253
0.500 0.500 0.253
0.000 0.000 0.000
0.000 0.000 0.664
0.000 0.000 0.336
0.333 0.667 0.000
0.667 0.333 0.000
0.333 0.667 0.500
0.667 0.333 0.500
```

Its total magnetization is 0.00 μB/f.u. As for the uncorrected energy: -0.17645 Ha/atom. The energy of formation from the pure elements is -0.4092 eV per atom.

Below is a relaxed La6ZnFe2 crystal, with properties calculated at the GGA-PBE level.

```
La6ZnFe2
1.0
8.224 0.032 -2.957
-4.350 7.149 -2.519
-0.050 -0.032 8.739
La Zn Fe
12 2 4
Direct
0.531 0.714 0.818
0.469 0.286 0.182
0.104 0.286 0.818
0.896 0.714 0.182
0.796 0.775 0.570
0.204 0.225 0.430
0.204 0.775 0.979
0.796 0.225 0.021
0.697 0.379 0.682
0.303 0.621 0.318
0.303 0.985 0.682
0.697 0.015 0.318
0.000 0.500 0.500
0.000 0.000 0.000
0.500 0.393 0.893
0.500 0.607 0.107
0.621 0.000 0.621
0.379 0.000 0.379
```

Its total magnetization is 1.87 μB/f.u. As for the uncorrected energy: -0.19568 Ha/atom. The energy of formation from the pure elements is -0.0177 eV per atom.